A plane-wave DFT calculation with PBE was carried out for a relaxed Cd2InPd7 crystal.

DOS at the Fermi energy ... 0.80 states/eV per atom
Final energy ... -4.067 eV/atom
V ... 19.45 Å³/atom

a b c (Å): 8.4610 16.1131 2.8527
angles (deg): 90.00 90.00 90.00
Closest atoms and distances in Å follow each position.
Space group Cmmm (No. 65)
Asymmetric unit:
Cd  0.0000  0.1762  0.0000 [4 per cell]  5 Pd 2.73-2.84, 2 Cd 2.85
In  0.0000  0.5000  0.5000 [2 per cell]  10 Pd 2.77-2.89, 2 In 2.85
Pd  0.0000  0.0000  0.0000 [2 per cell]  6 Pd 2.75-2.85, 2 Cd 2.84
Pd  0.0000  0.3206  0.5000 [4 per cell]  2 Cd 2.73, 6 Pd 2.78-2.85, 1 In 2.89
Pd  0.2233  0.4110  0.0000 [8 per cell]  1 Cd 2.73, 6 Pd 2.75-2.87, 2 In 2.77


A plane-wave DFT calculation with PBE was carried out for a relaxed SmBe4SiIr2 crystal.

DOS at the Fermi energy ... 0.46 states/eV per atom
Raw formation energy ... -0.326 eV per atom
V ... 13.59 Å³/atom

a b c (Å): 3.9308 3.9308 24.3818
angles (deg): 90.00 90.00 120.00
Closest atoms and distances in Å follow each position.
Space group R-3m (No. 166, hexagonal axes)
Asymmetric unit:
Sm  0.0000  0.0000  0.0000 [3 per cell]  8 Be 2.93-2.97
Be  0.0000  0.0000  0.1218 [6 per cell]  4 Ir 2.29-2.50, 3 Si 2.52, 3 Be 2.53
Be  0.0000  0.0000  0.4092 [6 per cell]  1 Si 2.21, 3 Ir 2.41
Si  0.0000  0.0000  0.5000 [3 per cell]  2 Be 2.21
Ir  0.0000  0.0000  0.2244 [6 per cell]  7 Be 2.29-2.50


A plane-wave DFT calculation with PBE was carried out for a relaxed CaBeSi2 crystal.

DOS at the Fermi energy ... 0.38 states/eV per atom
Raw formation energy ... -0.059 eV per atom
V ... 18.39 Å³/atom

a b c (Å): 7.1850 3.7271 5.7964
angles (deg): 90.00 108.56 90.00
Closest atoms and distances in Å follow each position.
Space group Cm (No. 8)
Asymmetric unit:
Ca  0.0000  0.0000  0.0000 [2 per cell]  6 Si 3.02-3.15, 3 Be 3.05-3.35
Be  0.2474  0.5000  0.3964 [2 per cell]  5 Si 2.25-2.32
Si  0.2230  0.0000  0.6228 [2 per cell]  2 Be 2.32, 1 Si 2.37
Si  0.4290  0.0000  0.3739 [2 per cell]  3 Be 2.25-2.30, 1 Si 2.37


A plane-wave DFT calculation with PBE was carried out for a relaxed ZnIn5Rh6 crystal.

DOS at the Fermi energy ... 0.24 states/eV per atom
Final energy ... -5.354 eV/atom
V ... 16.42 Å³/atom

a b c (Å): 4.5290 13.5597 6.4175
angles (deg): 90.00 90.00 90.00
Closest atoms and distances in Å follow each position.
Space group Cmmm (No. 65)
Asymmetric unit:
Zn  0.0000  0.0000  0.0000 [2 per cell]  8 Rh 2.74-2.76
In  0.0000  0.0000  0.5000 [2 per cell]  8 Rh 2.76-2.79
In  0.0000  0.3327  0.5000 [4 per cell]  8 Rh 2.79-2.80
In  0.0000  0.3355  0.0000 [4 per cell]  8 Rh 2.73-2.81
Rh  0.0000  0.1646  0.2463 [8 per cell]  1 Zn 2.74, 7 In 2.76-2.81
Rh  0.0000  0.5000  0.2460 [4 per cell]  6 In 2.73-2.79, 2 Zn 2.76


A plane-wave DFT calculation with PBE was carried out for a relaxed Tb4DyTe2 crystal.

DOS at the Fermi energy ... 0.87 states/eV per atom
Raw formation energy ... -0.519 eV per atom
V ... 32.47 Å³/atom

a b c (Å): 5.4386 5.4386 26.6181
angles (deg): 90.00 90.00 120.00
Closest atoms and distances in Å follow each position.
Space group R-3m (No. 166, hexagonal axes)
Asymmetric unit:
Tb  0.0000  0.0000  0.1338 [6 per cell]  3 Dy 3.26, 7 Tb 3.52-3.60
Tb  0.0000  0.0000  0.2661 [6 per cell]  4 Te 3.13-3.17
Dy  0.0000  0.0000  0.5000 [3 per cell]  2 Te 3.10, 6 Tb 3.26
Te  0.0000  0.0000  0.3837 [6 per cell]  1 Dy 3.10, 4 Tb 3.13-3.17


A plane-wave DFT calculation with PBE was carried out for a relaxed Nd3TmHg crystal.

DOS at the Fermi energy ... 1.43 states/eV per atom
Offset from the most stable computed form ... 0.0117 eV/atom
V ... 32.19 Å³/atom

a b c (Å): 22.2152 3.6245 8.3272
angles (deg): 90.00 106.24 90.00
Closest atoms and distances in Å follow each position.
Space group C2/m (No. 12)
Asymmetric unit:
Nd  0.0132  0.0000  0.2477 [4 per cell]  4 Hg 3.26-3.52, 3 Nd 3.53-3.62
Nd  0.1208  0.5000  0.0451 [4 per cell]  1 Hg 3.45, 3 Tm 3.52-3.59, 8 Nd 3.62-3.75
Nd  0.1753  0.0000  0.4519 [4 per cell]  2 Hg 3.28, 3 Tm 3.44-3.50, 5 Nd 3.53-3.67
Tm  0.2344  0.5000  0.8228 [4 per cell]  1 Hg 3.31, 4 Tm 3.37-3.62, 6 Nd 3.44-3.59
Hg  0.0840  0.5000  0.6144 [4 per cell]  7 Nd 3.26-3.52, 1 Tm 3.31, 2 Hg 3.62


A plane-wave DFT calculation with PBE was carried out for a relaxed PmMg2Au3 crystal.

DOS at the Fermi energy ... 0.51 states/eV per atom
Final energy ... -3.649 eV/atom
V ... 21.08 Å³/atom

a b c (Å): 4.7035 4.7035 13.2014
angles (deg): 90.00 90.00 120.00
Closest atoms and distances in Å follow each position.
Space group P6_3/mmc (No. 194)
Asymmetric unit:
Pm  0.0000  0.0000  0.2500 [2 per cell]  8 Au 3.10-3.30
Mg  0.3333  0.6667  0.0723 [4 per cell]  7 Au 2.75-2.88
Au  0.0000  0.0000  0.0000 [2 per cell]  6 Mg 2.88
Au  0.3333  0.6667  0.6363 [4 per cell]  4 Mg 2.75-2.84, 1 Au 3.00


A plane-wave DFT calculation with PBE was carried out for a relaxed MnC3 crystal.

DOS at the Fermi energy ... 0.38 states/eV per atom
Offset from the most stable computed form ... 0.9878 eV/atom
V ... 8.40 Å³/atom

a b c (Å): 2.4862 2.4862 21.7507
angles (deg): 90.00 90.00 90.00
Closest atoms and distances in Å follow each position.
Space group I4/mmm (No. 139)
Asymmetric unit:
Mn  0.0000  0.0000  0.1733 [4 per cell]  8 C 1.94-2.08
C  0.0000  0.0000  0.3647 [4 per cell]  4 Mn 1.94
C  0.0000  0.5000  0.0000 [4 per cell]  4 C 1.76
C  0.0000  0.5000  0.2500 [4 per cell]  4 C 1.76